1.
First-principles (GGA-PBE) data for crystalline Pm2Pr6Nd3Sm at its relaxed geometry, as listed in Alexandria via LeMat-Bulk.

Cell: 6.399 6.399 12.211 Å, 95.03 95.03 119.99°
Fractional positions:
Pm (0.167, 0.833, 0.000)
Pm (0.833, 0.167, 0.000)
Pr (0.084, 0.417, 0.751)
Pr (0.250, 0.250, 0.249)
Pr (0.417, 0.084, 0.751)
Pr (0.583, 0.916, 0.249)
Pr (0.750, 0.750, 0.751)
Pr (0.916, 0.583, 0.249)
Nd (0.000, 0.000, 0.500)
Nd (0.333, 0.667, 0.500)
Nd (0.667, 0.333, 0.500)
Sm (0.500, 0.500, 0.000)

Space-group type   C2/m, No. 12
Density of states at the Fermi level   19.1 states/eV per cell
Final energy   -4.7549 eV per atom
E_form   0.14 eV per formula unit

***

2.
First-principles (GGA-PBE) data for crystalline PmPr2NdSm at its relaxed geometry, as listed in Alexandria via LeMat-Bulk.

Cell: 8.304 6.855 6.342 Å, 90.00 90.09 90.00°
Fractional positions:
Pm (0.000, 0.079, 0.250)
Pm (0.000, 0.921, 0.750)
Pr (0.303, 0.194, 0.749)
Pr (0.303, 0.806, 0.249)
Pr (0.697, 0.194, 0.751)
Pr (0.697, 0.806, 0.251)
Nd (0.000, 0.500, 0.000)
Nd (0.000, 0.500, 0.500)
Sm (0.500, 0.340, 0.250)
Sm (0.500, 0.660, 0.750)

Space-group type   P2/c, No. 13
Density of states at the Fermi level   12.9 states/eV per cell
Final energy   -4.5179 eV per atom
E_form   1.21 eV per formula unit